(1)
Below is a relaxed structure of Sr2SmAgO4, with properties calculated at the PBE level.

Results
VASP energy (eV per atom): -6.185
Energy relative to the elements, uncorrected (eV per formula unit): -18.71
Size of the total moment (μB/atom): 0.0000
V (Å³/f.u.): 130.94

Unit cell a=6.1866 b=3.6196 c=6.1998 alpha=90.00 beta=109.42 gamma=90.00
With the nearest neighbours (Å) after each atom.
Space group P2/m (No. 10)
Symmetry-distinct sites (fractional):
Sr1 0.0000 0.0000 0.0000 (multiplicity 1)  6 O 2.45-2.48
Sr2 0.5000 0.5000 0.0000 (multiplicity 1)  6 O 2.65-2.66
Sm1 0.0000 0.5000 0.5000 (multiplicity 1)  6 O 2.40-2.45
Ag1 0.5000 0.0000 0.5000 (multiplicity 1)  6 O 2.61-2.62
O1 0.2223 0.0000 0.7376 (multiplicity 2)  2 Sm 2.45, 3 Sr 2.45-2.65, 1 Ag 2.61
O2 0.2233 0.5000 0.2497 (multiplicity 2)  1 Sm 2.40, 3 Sr 2.48-2.66, 2 Ag 2.62

(2)
Below is a relaxed structure of K4PuO5, with properties calculated at the PBE level.

Results
VASP energy (eV per atom): -6.365
Energy relative to the elements, uncorrected (eV per formula unit): -20.13
Size of the total moment (μB/atom): 0.2000
V (Å³/f.u.): 190.02

Unit cell a=8.7109 b=8.7109 c=5.0084 alpha=90.00 beta=90.00 gamma=90.00
With the nearest neighbours (Å) after each atom.
Space group I4 (No. 79)
Symmetry-distinct sites (fractional):
K1 0.1166 0.2931 0.0000 (multiplicity 8)  5 O 2.62-2.80
Pu1 0.0000 0.0000 0.4910 (multiplicity 2)  4 O 2.01
O1 0.0000 0.0000 0.0386 (multiplicity 2)  1 Pu 2.27
O2 0.0625 0.2220 0.4995 (multiplicity 8)  1 Pu 2.01

(3)
Below is a relaxed structure of MnCrIrS, with properties calculated at the PBE level.

Results
VASP energy (eV per atom): -8.108
Energy relative to the elements, uncorrected (eV per formula unit): -0.65
Size of the total moment (μB/atom): 0.7239
ΔE to the lowest computed polymorph (meV/atom): 6
V (Å³/f.u.): 53.18

Unit cell a=2.8902 b=2.8850 c=12.7562 alpha=90.00 beta=90.00 gamma=90.00
With the nearest neighbours (Å) after each atom.
Space group Amm2 (No. 38)
Symmetry-distinct sites (fractional):
Mn1 0.0000 0.0000 0.0000 (multiplicity 2)  2 S 2.34
Cr1 0.0000 0.0000 0.2756 (multiplicity 2)  4 S 2.29
Ir1 0.5000 0.0000 0.6288 (multiplicity 2)  4 Mn 2.62, 4 Cr 2.77, 4 Ir 2.89, 1 S 2.90
S1 0.5000 0.0000 0.8560 (multiplicity 2)  4 Cr 2.29, 2 Mn 2.34

(4)
Below is a relaxed structure of Na2CdPb2, with properties calculated at the PBE level.

Results
VASP energy (eV per atom): -2.292
ΔH_f (0 K) (eV/atom): -0.098
Size of the total moment (μB/atom): 0.0000
ΔE to the lowest computed polymorph (meV/atom): 0
V (Å³/f.u.): 150.00

Unit cell a=11.3684 b=5.2191 c=10.7259 alpha=90.00 beta=109.47 gamma=90.00
With the nearest neighbours (Å) after each atom.
Space group C2/m (No. 12)
Symmetry-distinct sites (fractional):
Na1 0.0418 0.0000 0.3514 (multiplicity 4)  4 Cd 3.37-3.56, 7 Pb 3.40-3.68, 2 Na 3.62-3.67
Na2 0.1624 0.0000 0.0735 (multiplicity 4)  6 Pb 3.36-3.59, 2 Na 3.50-3.67, 2 Cd 3.75
Cd1 0.2245 0.5000 0.3393 (multiplicity 4)  3 Pb 2.97-3.02
Pb1 0.0279 0.5000 0.8645 (multiplicity 4)  1 Cd 2.97, 1 Pb 3.18
Pb2 0.1338 0.5000 0.6083 (multiplicity 4)  3 Cd 3.02-3.37, 2 Pb 3.15-3.35

(5)
Below is a relaxed structure of Sc2GeH, with properties calculated at the PBE level.

Results
VASP energy (eV per atom): -5.864
Size of the total moment (μB/atom): 0.0000
ΔE to the lowest computed polymorph (meV/atom): 11
V (Å³/f.u.): 63.93

Unit cell a=7.5939 b=3.8901 c=8.6563 alpha=90.00 beta=90.00 gamma=90.00
With the nearest neighbours (Å) after each atom.
Space group Pnma (No. 62)
Symmetry-distinct sites (fractional):
Sc1 0.0343 0.2500 0.1672 (multiplicity 4)  1 H 2.01
Sc2 0.1355 0.2500 0.5623 (multiplicity 4)  3 H 2.03-2.11
Ge1 0.2288 0.2500 0.8644 (multiplicity 4)  6 Sc 2.71-3.01, 1 H 2.74
H1 0.0448 0.7500 0.6108 (multiplicity 4)  4 Sc 2.01-2.11

(6)
Below is a relaxed structure of LaAl2GeOs2, with properties calculated at the PBE level.

Results
VASP energy (eV per atom): -6.622
ΔH_f (0 K) (eV/atom): -0.040
Size of the total moment (μB/atom): 0.0004
V (Å³/f.u.): 122.20

Unit cell a=4.5801 b=4.5801 c=5.8251 alpha=90.00 beta=90.00 gamma=90.00
With the nearest neighbours (Å) after each atom.
Space group P4/mmm (No. 123)
Symmetry-distinct sites (fractional):
La1 0.0000 0.0000 0.0000 (multiplicity 1)  2 Ge 2.91
Al1 0.5000 0.5000 0.2438 (multiplicity 2)  4 Os 2.73, 2 Al 2.84-2.99
Ge1 0.0000 0.0000 0.5000 (multiplicity 1)  4 Os 2.29
Os1 0.0000 0.5000 0.5000 (multiplicity 2)  2 Ge 2.29

(7)
Below is a relaxed structure of BaAgHgAu2, with properties calculated at the PBE level.

Results
VASP energy (eV per atom): -2.733
ΔH_f (0 K) (eV/atom): -0.407
Size of the total moment (μB/atom): 0.0000
ΔE to the lowest computed polymorph (meV/atom): 0
V (Å³/f.u.): 130.18

Unit cell a=4.4736 b=4.4736 c=13.0095 alpha=90.00 beta=90.00 gamma=90.00
With the nearest neighbours (Å) after each atom.
Space group I-4m2 (No. 119)
Symmetry-distinct sites (fractional):
Ba1 0.0000 0.0000 0.0000 (multiplicity 2)  8 Au 3.45
Ag1 0.0000 0.5000 0.7500 (multiplicity 2)  4 Au 2.91, 4 Hg 3.16
Hg1 0.0000 0.5000 0.2500 (multiplicity 2)  4 Au 2.91, 4 Ag 3.16
Au1 0.0000 0.0000 0.3933 (multiplicity 4)  1 Au 2.78, 2 Hg 2.91, 2 Ag 2.91

(8)
Below is a relaxed structure of TbSm6Y3, with properties calculated at the PBE level.

Results
VASP energy (eV per atom): -5.107
ΔH_f (0 K) (eV/atom): 0.126
Size of the total moment (μB/atom): 0.0000
ΔE to the lowest computed polymorph (meV/atom): 0
V (Å³/f.u.): 335.47

Unit cell a=9.8492 b=21.2875 c=6.4001 alpha=90.00 beta=90.00 gamma=90.00
With the nearest neighbours (Å) after each atom.
Space group Cmc2_1 (No. 36)
Symmetry-distinct sites (fractional):
Tb1 0.0000 0.1610 0.0000 (multiplicity 4)  6 Sm 3.28-3.66, 2 Y 3.56
Sm1 0.0000 0.0172 0.1832 (multiplicity 4)  1 Tb 3.28, 4 Sm 3.28-3.59, 4 Y 3.57-3.60
Sm2 0.0000 0.3004 0.2241 (multiplicity 4)  1 Y 3.18, 1 Tb 3.30, 2 Sm 3.46
Sm3 0.1749 0.2805 0.6889 (multiplicity 8)  2 Y 3.31-3.48, 3 Sm 3.45-3.64, 2 Tb 3.64-3.66
Sm4 0.1817 0.4398 0.4491 (multiplicity 8)  3 Y 3.40-3.57, 4 Sm 3.58-3.75
Y1 0.0000 0.4203 0.9271 (multiplicity 4)  3 Sm 3.18-3.48, 2 Y 3.46
Y2 0.1683 0.1251 0.5224 (multiplicity 8)  5 Sm 3.31-3.60, 2 Y 3.32-3.46, 1 Tb 3.56

(9)
Below is a relaxed structure of Nd2ZrSn3Ir4, with properties calculated at the PBE level.

Results
VASP energy (eV per atom): -7.186
ΔH_f (0 K) (eV/atom): -0.633
Size of the total moment (μB/atom): 0.0000
V (Å³/f.u.): 219.14

Unit cell a=4.3756 b=4.3756 c=11.4460 alpha=90.00 beta=90.00 gamma=90.00
With the nearest neighbours (Å) after each atom.
Space group P-4m2 (No. 115)
Symmetry-distinct sites (fractional):
Nd1 0.0000 0.5000 0.2372 (multiplicity 2)  6 Sn 3.33-3.72, 8 Ir 3.39-3.49, 2 Zr 3.72
Zr1 0.0000 0.0000 0.5000 (multiplicity 1)  4 Ir 2.72
Sn1 0.0000 0.5000 0.8704 (multiplicity 2)  5 Ir 2.62-2.64
Sn2 0.5000 0.5000 0.5000 (multiplicity 1)  4 Ir 2.72
Ir1 0.0000 0.0000 0.0000 (multiplicity 1)  4 Sn 2.64
Ir2 0.0000 0.5000 0.6414 (multiplicity 2)  3 Sn 2.62-2.72, 2 Zr 2.72
Ir3 0.5000 0.5000 0.0000 (multiplicity 1)  4 Sn 2.64

(10)
Below is a relaxed structure of SrPm2Ge4, with properties calculated at the PBE level.

Results
VASP energy (eV per atom): -4.929
ΔH_f (0 K) (eV/atom): -0.693
Size of the total moment (μB/atom): 0.0000
V (Å³/f.u.): 175.40

Unit cell a=4.0996 b=4.5562 c=18.7809 alpha=90.00 beta=90.00 gamma=90.00
With the nearest neighbours (Å) after each atom.
Space group Immm (No. 71)
Symmetry-distinct sites (fractional):
Sr1 0.0000 0.0000 0.0000 (multiplicity 2)  12 Ge 3.34-3.74
Pm1 0.0000 0.5000 0.3185 (multiplicity 4)  7 Ge 3.02-3.10
Ge1 0.0000 0.0000 0.4295 (multiplicity 4)  3 Ge 2.62-2.65
Ge2 0.0000 0.5000 0.1577 (multiplicity 4)  2 Ge 2.62

(11)
Below is a relaxed structure of Tc2HgBS, with properties calculated at the PBE level.

Results
VASP energy (eV per atom): -5.470
Energy relative to the elements, uncorrected (eV per formula unit): 4.49
Size of the total moment (μB/atom): 0.3811
V (Å³/f.u.): 78.92

Unit cell a=4.2602 b=4.2602 c=4.3482 alpha=90.00 beta=90.00 gamma=90.00
With the nearest neighbours (Å) after each atom.
Space group P4/mmm (No. 123)
Symmetry-distinct sites (fractional):
Tc1 0.0000 0.5000 0.0000 (multiplicity 2)  2 B 2.13
Hg1 0.0000 0.0000 0.5000 (multiplicity 1)  2 B 2.17
B1 0.0000 0.0000 0.0000 (multiplicity 1)  4 Tc 2.13, 2 Hg 2.17
S1 0.5000 0.5000 0.5000 (multiplicity 1)  4 Hg 3.01, 8 Tc 3.04

(12)
Below is a relaxed structure of DyNbNiRu, with properties calculated at the PBE level.

Results
VASP energy (eV per atom): -7.593
ΔH_f (0 K) (eV/atom): -0.161
Size of the total moment (μB/atom): 0.0000
V (Å³/f.u.): 69.06

Unit cell a=6.5126 b=6.5126 c=6.5126 alpha=90.00 beta=90.00 gamma=90.00
With the nearest neighbours (Å) after each atom.
Space group F-43m (No. 216)
Symmetry-distinct sites (fractional):
Dy1 0.0000 0.0000 0.0000 (multiplicity 4)  4 Ru 2.82, 4 Ni 2.82
Nb1 0.0000 0.0000 0.5000 (multiplicity 4)  4 Ni 2.82, 4 Ru 2.82
Ni1 0.2500 0.2500 0.2500 (multiplicity 4)  4 Nb 2.82, 4 Dy 2.82
Ru1 0.2500 0.2500 0.7500 (multiplicity 4)  4 Nb 2.82, 4 Dy 2.82

(13)
Below is a relaxed structure of TlRhO2F, with properties calculated at the PBE level.

Results
VASP energy (eV per atom): -4.148
Energy relative to the elements, uncorrected (eV per formula unit): 0.77
Size of the total moment (μB/atom): 0.5817
V (Å³/f.u.): 80.35

Unit cell a=4.2979 b=4.2979 c=4.3499 alpha=90.00 beta=90.00 gamma=90.00
With the nearest neighbours (Å) after each atom.
Space group P4/mmm (No. 123)
Symmetry-distinct sites (fractional):
Tl1 0.0000 0.0000 0.0000 (multiplicity 1)  4 O 2.15, 2 F 2.17
Rh1 0.5000 0.5000 0.5000 (multiplicity 1)  4 F 3.04, 8 O 3.06
O1 0.0000 0.5000 0.0000 (multiplicity 2)  2 Tl 2.15
F1 0.0000 0.0000 0.5000 (multiplicity 1)  2 Tl 2.17

(14)
Below is a relaxed structure of CeHo4Er5, with properties calculated at the PBE level.

Results
VASP energy (eV per atom): -4.432
ΔH_f (0 K) (eV/atom): 0.274
Size of the total moment (μB/atom): 0.0325
ΔE to the lowest computed polymorph (meV/atom): 184
V (Å³/f.u.): 315.46

Unit cell a=10.4382 b=10.4382 c=5.7906 alpha=90.00 beta=90.00 gamma=90.00
With the nearest neighbours (Å) after each atom.
Space group I4mm (No. 107)
Symmetry-distinct sites (fractional):
Ce1 0.0000 0.0000 0.0000 (multiplicity 2)  1 Er 2.72
Ho1 0.0000 0.3259 0.2579 (multiplicity 8)  3 Er 3.27-3.62, 1 Ho 3.64
Er1 0.0000 0.0000 0.4699 (multiplicity 2)  1 Ce 2.72
Er2 0.1867 0.1867 0.7574 (multiplicity 8)  1 Ce 3.09, 3 Er 3.22-3.45, 2 Ho 3.27

(15)
Below is a relaxed structure of TaPdPb2Au, with properties calculated at the PBE level.

Results
VASP energy (eV per atom): -4.247
ΔH_f (0 K) (eV/atom): 1.301
Size of the total moment (μB/atom): 0.0005
V (Å³/f.u.): 138.97

Unit cell a=5.2753 b=5.2753 c=4.9938 alpha=90.00 beta=90.00 gamma=90.00
With the nearest neighbours (Å) after each atom.
Space group P4/mmm (No. 123)
Symmetry-distinct sites (fractional):
Ta1 0.0000 0.0000 0.0000 (multiplicity 1)  8 Pb 3.63, 4 Pd 3.73
Pd1 0.5000 0.5000 0.0000 (multiplicity 1)  2 Au 2.50
Pb1 0.0000 0.5000 0.5000 (multiplicity 2)  2 Au 2.64
Au1 0.5000 0.5000 0.5000 (multiplicity 1)  2 Pd 2.50, 4 Pb 2.64

(16)
Below is a relaxed structure of RbSr3P, with properties calculated at the PBE level.

Results
VASP energy (eV per atom): -1.092
ΔH_f (0 K) (eV/atom): 1.192
Size of the total moment (μB/atom): 0.4029
ΔE to the lowest computed polymorph (meV/atom): 1582
V (Å³/f.u.): 258.77

Unit cell a=6.3724 b=6.3724 c=6.3724 alpha=90.00 beta=90.00 gamma=90.00
With the nearest neighbours (Å) after each atom.
Space group Pm-3m (No. 221)
Symmetry-distinct sites (fractional):
Rb1 0.0000 0.0000 0.0000 (multiplicity 1)  6 Sr 3.19
Sr1 0.0000 0.0000 0.5000 (multiplicity 3)  2 Rb 3.19
P1 0.5000 0.5000 0.5000 (multiplicity 1)  12 Sr 4.51

(17)
Below is a relaxed structure of ZrTlFe2, with properties calculated at the PBE level.

Results
VASP energy (eV per atom): -6.584
ΔH_f (0 K) (eV/atom): 0.376
Size of the total moment (μB/atom): 1.2683
ΔE to the lowest computed polymorph (meV/atom): 238
V (Å³/f.u.): 73.11

Unit cell a=3.1282 b=3.1282 c=25.8804 alpha=90.00 beta=90.00 gamma=120.00
With the nearest neighbours (Å) after each atom.
Space group R3m (No. 160, hexagonal axes)
Symmetry-distinct sites (fractional):
Zr1 0.0000 0.0000 0.0000 (multiplicity 3)  3 Fe 2.78
Tl1 0.0000 0.0000 0.7695 (multiplicity 3)  3 Fe 2.88, 6 Tl 3.13, 3 Zr 3.22
Fe1 0.0000 0.0000 0.2519 (multiplicity 3)  3 Fe 2.42
Fe2 0.0000 0.0000 0.5231 (multiplicity 3)  3 Fe 2.42

(18)
Below is a relaxed structure of TaIrOs, with properties calculated at the PBE level.

Results
VASP energy (eV per atom): -10.644
ΔH_f (0 K) (eV/atom): 0.004
Size of the total moment (μB/atom): 0.0001
ΔE to the lowest computed polymorph (meV/atom): 347
V (Å³/f.u.): 48.65

Unit cell a=3.1694 b=3.1694 c=9.6856 alpha=90.00 beta=90.00 gamma=90.00
With the nearest neighbours (Å) after each atom.
Space group I4mm (No. 107)
Symmetry-distinct sites (fractional):
Ta1 0.0000 0.0000 0.0000 (multiplicity 2)  4 Os 2.66, 4 Ir 2.70
Ir1 0.0000 0.0000 0.3445 (multiplicity 2)  4 Ta 2.70, 5 Os 2.94
Os1 0.0000 0.0000 0.6476 (multiplicity 2)  4 Ta 2.66, 5 Ir 2.94

(19)
Below is a relaxed structure of Re2OsRh, with properties calculated at the PBE level.

Results
VASP energy (eV per atom): -9.536
ΔH_f (0 K) (eV/atom): 1.334
Size of the total moment (μB/atom): 0.0000
ΔE to the lowest computed polymorph (meV/atom): 1471
V (Å³/f.u.): 86.41

Unit cell a=5.8160 b=5.8160 c=10.2181 alpha=90.00 beta=90.00 gamma=90.00
With the nearest neighbours (Å) after each atom.
Space group I-42d (No. 122)
Symmetry-distinct sites (fractional):
Re1 0.2498 0.2500 0.1250 (multiplicity 8)  2 Os 2.42, 2 Rh 2.42
Os1 0.0000 0.0000 0.0000 (multiplicity 4)  4 Re 2.42
Rh1 0.0000 0.0000 0.5000 (multiplicity 4)  4 Re 2.42

(20)
Below is a relaxed structure of RbCuS3, with properties calculated at the PBE level.

Results
VASP energy (eV per atom): -1.852
Energy relative to the elements, uncorrected (eV per formula unit): 8.19
Size of the total moment (μB/atom): 0.0000
V (Å³/f.u.): 162.15

Unit cell a=5.4531 b=5.4531 c=5.4531 alpha=90.00 beta=90.00 gamma=90.00
With the nearest neighbours (Å) after each atom.
Space group Pm-3m (No. 221)
Symmetry-distinct sites (fractional):
Rb1 0.0000 0.0000 0.0000 (multiplicity 1)  6 S 2.73
Cu1 0.5000 0.5000 0.5000 (multiplicity 1)  12 S 3.86
S1 0.0000 0.0000 0.5000 (multiplicity 3)  2 Rb 2.73